(A)
Density functional theory data (GGA-PBE) for an optimized crystal structure of La4TbCd.

Calculated values
- DOS at the Fermi energy (states/eV/cell) = 8.29

a = 3.762 Å, b = 3.762 Å, c = 14.339 Å
α = 90.00°, β = 90.00°, γ = 90.00°
Space group P4/mmm (No. 123)
Unique sites:
La: 0.000 0.000 0.149
La: 0.500 0.500 0.326
Tb: 0.000 0.000 0.500
Cd: 0.500 0.500 0.000


(B)
Density functional theory data (GGA-PBE) for an optimized crystal structure of La4TbCd.

Calculated values
- DOS at the Fermi energy (states/eV/cell) = 32.58

a = 5.790 Å, b = 21.070 Å, c = 6.609 Å
α = 90.00°, β = 90.00°, γ = 90.00°
Space group Cmc2_1 (No. 36)
Unique sites:
La: 0.000 0.044 0.000
La: 0.000 0.190 0.855
La: 0.000 0.257 0.259
La: 0.000 0.442 0.186
Tb: 0.000 0.366 0.699
Cd: 0.000 0.110 0.444


The structure with the least stability is (B).


(A)
Density functional theory data (GGA-PBE) for an optimized crystal structure of La6TbCd.

Calculated values
- DOS at the Fermi energy (states/eV/cell) = 9.08

a = 5.130 Å, b = 5.130 Å, c = 10.358 Å
α = 90.00°, β = 90.00°, γ = 90.00°
Space group P4/mmm (No. 123)
Unique sites:
La: 0.000 0.000 0.000
La: 0.000 0.000 0.500
La: 0.000 0.500 0.247
Tb: 0.500 0.500 0.500
Cd: 0.500 0.500 0.000


(B)
Density functional theory data (GGA-PBE) for an optimized crystal structure of La6TbCd.

Calculated values
- DOS at the Fermi energy (states/eV/cell) = 11.99

a = 6.628 Å, b = 6.637 Å, c = 9.277 Å
α = 110.46°, β = 90.51°, γ = 119.74°
Space group P-1 (No. 2)
Unique sites:
La: 0.044 0.477 0.280
La: 0.188 0.148 0.716
La: 0.442 0.247 0.281
Tb: 0.500 0.000 0.500
Cd: 0.000 0.000 0.000


The structure with the least stability is (B).